[1]
## Hf2MnH2 (GGA-PBEsol)

Data for crystalline Hf2MnH2 at its relaxed geometry.

The structure in CIF format:
```
data_Hf2MnH2
_chemical_formula_sum 'Hf4 Mn2 H4'
_cell_length_a 3.1164
_cell_length_b 3.1164
_cell_length_c 11.6050
_cell_angle_alpha 90.00
_cell_angle_beta 90.00
_cell_angle_gamma 90.00
_symmetry_space_group_name_H-M 'I 4/m m m'
_symmetry_Int_Tables_number 139
_symmetry_space_group_name_Hall '-I 4 2'
loop_
_atom_site_label
_atom_site_fract_x
_atom_site_fract_y
_atom_site_fract_z
_atom_site_occupancy
Hf1 0.0000 0.0000 0.1325 1
Mn1 0.0000 0.0000 0.5000 1
H1 0.0000 0.5000 0.2500 1
```

calculated density: 12.20 Mg/m³
total magnetic moment: 0.00 μB/f.u.
uncorrected energy: -7.87 eV per atom
density of states at the Fermi level: 0.540 states/eV/atom



[2]
## Hf3MoH (GGA-PBEsol)

Data for crystalline Hf3MoH at its relaxed geometry.

The structure in CIF format:
```
data_Hf3MoH
_chemical_formula_sum 'Hf3 Mo1 H1'
_cell_length_a 4.3107
_cell_length_b 4.3107
_cell_length_c 4.3107
_cell_angle_alpha 90.00
_cell_angle_beta 90.00
_cell_angle_gamma 90.00
_symmetry_space_group_name_H-M 'P m -3 m'
_symmetry_Int_Tables_number 221
_symmetry_space_group_name_Hall '-P 4 2 3'
loop_
_atom_site_label
_atom_site_fract_x
_atom_site_fract_y
_atom_site_fract_z
_atom_site_occupancy
Hf1 0.0000 0.0000 0.5000 1
Mo1 0.5000 0.5000 0.5000 1
H1 0.0000 0.0000 0.0000 1
```

calculated density: 13.11 Mg/m³
total magnetic moment: 0.00 μB/f.u.
uncorrected energy: -9.27 eV per atom
density of states at the Fermi level: 1.425 states/eV/atom



[3]
## Hf2HN (GGA-PBEsol)

Data for crystalline Hf2HN at its relaxed geometry.

The structure in CIF format:
```
data_Hf2HN
_chemical_formula_sum 'Hf8 H4 N4'
_cell_length_a 4.9890
_cell_length_b 4.9890
_cell_length_c 8.7067
_cell_angle_alpha 90.00
_cell_angle_beta 90.00
_cell_angle_gamma 90.00
_symmetry_space_group_name_H-M 'I -4 2 d'
_symmetry_Int_Tables_number 122
_symmetry_space_group_name_Hall 'I -4 2bw'
loop_
_atom_site_label
_atom_site_fract_x
_atom_site_fract_y
_atom_site_fract_z
_atom_site_occupancy
Hf1 0.2477 0.7500 0.1250 1
H1 0.0000 0.0000 0.5000 1
N1 0.0000 0.0000 0.0000 1
```

calculated density: 11.40 Mg/m³
total magnetic moment: 0.00 μB/f.u.
uncorrected energy: -9.09 eV per atom
density of states at the Fermi level: 0.259 states/eV/atom



[4]
## HfHN2O (GGA-PBEsol)

Data for crystalline HfHN2O at its relaxed geometry.

The structure in CIF format:
```
data_HfHN2O
_chemical_formula_sum 'Hf1 H1 N2 O1'
_cell_length_a 3.0124
_cell_length_b 3.0124
_cell_length_c 4.1726
_cell_angle_alpha 90.00
_cell_angle_beta 90.00
_cell_angle_gamma 90.00
_symmetry_space_group_name_H-M 'P 4/m m m'
_symmetry_Int_Tables_number 123
_symmetry_space_group_name_Hall '-P 4 2'
loop_
_atom_site_label
_atom_site_fract_x
_atom_site_fract_y
_atom_site_fract_z
_atom_site_occupancy
Hf1 0.0000 0.0000 0.0000 1
H1 0.5000 0.5000 0.5000 1
N1 0.0000 0.5000 0.5000 1
O1 0.5000 0.5000 0.0000 1
```

calculated density: 9.80 Mg/m³
total magnetic moment: 0.00 μB/f.u.
uncorrected energy: -7.46 eV per atom
density of states at the Fermi level: 0.171 states/eV/atom



[5]
## HfHSN2 (GGA-PBEsol)

Data for crystalline HfHSN2 at its relaxed geometry.

The structure in CIF format:
```
data_HfHSN2
_chemical_formula_sum 'Hf1 H1 S1 N2'
_cell_length_a 3.8380
_cell_length_b 3.8380
_cell_length_c 3.0784
_cell_angle_alpha 90.00
_cell_angle_beta 90.00
_cell_angle_gamma 90.00
_symmetry_space_group_name_H-M 'P 4/m m m'
_symmetry_Int_Tables_number 123
_symmetry_space_group_name_Hall '-P 4 2'
loop_
_atom_site_label
_atom_site_fract_x
_atom_site_fract_y
_atom_site_fract_z
_atom_site_occupancy
Hf1 0.0000 0.0000 0.0000 1
H1 0.5000 0.5000 0.5000 1
S1 0.5000 0.5000 0.0000 1
N1 0.0000 0.5000 0.5000 1
```

calculated density: 8.77 Mg/m³
total magnetic moment: 0.00 μB/f.u.
uncorrected energy: -6.52 eV per atom
density of states at the Fermi level: 0.461 states/eV/atom



[6]
## HfHSN2 (GGA-PBEsol)

Data for crystalline HfHSN2 at its relaxed geometry.

The structure in CIF format:
```
data_HfHSN2
_chemical_formula_sum 'Hf1 H1 S1 N2'
_cell_length_a 4.1497
_cell_length_b 4.1497
_cell_length_c 5.0044
_cell_angle_alpha 90.00
_cell_angle_beta 90.00
_cell_angle_gamma 90.00
_symmetry_space_group_name_H-M 'P 4/m m m'
_symmetry_Int_Tables_number 123
_symmetry_space_group_name_Hall '-P 4 2'
loop_
_atom_site_label
_atom_site_fract_x
_atom_site_fract_y
_atom_site_fract_z
_atom_site_occupancy
Hf1 0.0000 0.0000 0.0000 1
H1 0.5000 0.5000 0.5000 1
S1 0.0000 0.0000 0.5000 1
N1 0.0000 0.5000 0.0000 1
```

calculated density: 4.62 Mg/m³
total magnetic moment: 3.24 μB/f.u.
uncorrected energy: -6.14 eV per atom
density of states at the Fermi level: 0.639 states/eV/atom



[7]
## HfHSe2N (GGA-PBEsol)

Data for crystalline HfHSe2N at its relaxed geometry.

The structure in CIF format:
```
data_HfHSe2N
_chemical_formula_sum 'Hf1 H1 Se2 N1'
_cell_length_a 5.1508
_cell_length_b 5.1508
_cell_length_c 4.1288
_cell_angle_alpha 90.00
_cell_angle_beta 90.00
_cell_angle_gamma 90.00
_symmetry_space_group_name_H-M 'P 4/m m m'
_symmetry_Int_Tables_number 123
_symmetry_space_group_name_Hall '-P 4 2'
loop_
_atom_site_label
_atom_site_fract_x
_atom_site_fract_y
_atom_site_fract_z
_atom_site_occupancy
Hf1 0.0000 0.0000 0.0000 1
H1 0.5000 0.5000 0.5000 1
Se1 0.0000 0.5000 0.0000 1
N1 0.0000 0.0000 0.5000 1
```

calculated density: 5.33 Mg/m³
total magnetic moment: 2.18 μB/f.u.
uncorrected energy: -5.52 eV per atom
density of states at the Fermi level: 1.042 states/eV/atom



[8]
## HfTl2HN (GGA-PBEsol)

Data for crystalline HfTl2HN at its relaxed geometry.

The structure in CIF format:
```
data_HfTl2HN
_chemical_formula_sum 'Hf1 Tl2 H1 N1'
_cell_length_a 5.2341
_cell_length_b 5.2341
_cell_length_c 2.9277
_cell_angle_alpha 90.00
_cell_angle_beta 90.00
_cell_angle_gamma 90.00
_symmetry_space_group_name_H-M 'P 4/m m m'
_symmetry_Int_Tables_number 123
_symmetry_space_group_name_Hall '-P 4 2'
loop_
_atom_site_label
_atom_site_fract_x
_atom_site_fract_y
_atom_site_fract_z
_atom_site_occupancy
Hf1 0.0000 0.0000 0.0000 1
Tl1 0.0000 0.5000 0.5000 1
H1 0.5000 0.5000 0.5000 1
N1 0.5000 0.5000 0.0000 1
```

calculated density: 12.47 Mg/m³
total magnetic moment: 0.00 μB/f.u.
uncorrected energy: -4.86 eV per atom
density of states at the Fermi level: 0.521 states/eV/atom



Q: Look up the density of states at the Fermi level of the sixth one.
A: 0.639 states/eV/atom



What did the fifth record say?
## HfHSN2 (GGA-PBEsol)

Data for crystalline HfHSN2 at its relaxed geometry.

The structure in CIF format:
```
data_HfHSN2
_chemical_formula_sum 'Hf1 H1 S1 N2'
_cell_length_a 3.8380
_cell_length_b 3.8380
_cell_length_c 3.0784
_cell_angle_alpha 90.00
_cell_angle_beta 90.00
_cell_angle_gamma 90.00
_symmetry_space_group_name_H-M 'P 4/m m m'
_symmetry_Int_Tables_number 123
_symmetry_space_group_name_Hall '-P 4 2'
loop_
_atom_site_label
_atom_site_fract_x
_atom_site_fract_y
_atom_site_fract_z
_atom_site_occupancy
Hf1 0.0000 0.0000 0.0000 1
H1 0.5000 0.5000 0.5000 1
S1 0.5000 0.5000 0.0000 1
N1 0.0000 0.5000 0.5000 1
```

calculated density: 8.77 Mg/m³
total magnetic moment: 0.00 μB/f.u.
uncorrected energy: -6.52 eV per atom
density of states at the Fermi level: 0.461 states/eV/atom



Q: Which formula does entry 8 have?
A: HfTl2HN